Record 1
# FeCo2TcN, optimized geometry, DFT GGA-PBE
# total moment = 5.80 μB/f.u.
# final energy = -8.21 eV/atom
# E_form (uncorrected) = 0.0677 eV/atom
data_FeCo2TcN
_chemical_formula_sum 'Fe1 Co2 Tc1 N1'
_space_group_name_H-M_alt 'P 4/m m m'
_space_group_IT_number 123
_space_group_name_Hall '-P 4 2'
_cell_length_a 3.769
_cell_length_b 3.769
_cell_length_c 3.979
_cell_angle_alpha 90.00
_cell_angle_beta 90.00
_cell_angle_gamma 90.00
loop_
_atom_site_label
_atom_site_type_symbol
_atom_site_fract_x
_atom_site_fract_y
_atom_site_fract_z
Fe1 Fe 0.000 0.000 0.000
Co1 Co 0.000 0.500 0.500
Tc1 Tc 0.500 0.500 0.000
N1 N 0.500 0.500 0.500

---

Record 2
# SrSc2BiC, optimized geometry, DFT GGA-PBE
# DFT formation energy = -2.09 eV per formula unit
# total moment = 0.00 μB/f.u.
# final energy = -5.91 eV/atom
data_SrSc2BiC
_chemical_formula_sum 'Sr1 Sc2 Bi1 C1'
_space_group_name_H-M_alt 'P 4/m m m'
_space_group_IT_number 123
_space_group_name_Hall '-P 4 2'
_cell_length_a 4.642
_cell_length_b 4.642
_cell_length_c 5.353
_cell_angle_alpha 90.00
_cell_angle_beta 90.00
_cell_angle_gamma 90.00
loop_
_atom_site_label
_atom_site_type_symbol
_atom_site_fract_x
_atom_site_fract_y
_atom_site_fract_z
Sr1 Sr 0.000 0.000 0.000
Sc1 Sc 0.000 0.500 0.500
Bi1 Bi 0.500 0.500 0.000
C1 C 0.000 0.000 0.500

---

Record 3
# Na2InTeF, optimized geometry, DFT GGA-PBE
# total moment = 0.00 μB/f.u.
# final energy = -3.34 eV/atom
# E_form (uncorrected) = -1.2638 eV/atom
data_Na2InTeF
_chemical_formula_sum 'Na2 In1 Te1 F1'
_space_group_name_H-M_alt 'P 4/m m m'
_space_group_IT_number 123
_space_group_name_Hall '-P 4 2'
_cell_length_a 4.863
_cell_length_b 4.863
_cell_length_c 5.161
_cell_angle_alpha 90.00
_cell_angle_beta 90.00
_cell_angle_gamma 90.00
loop_
_atom_site_label
_atom_site_type_symbol
_atom_site_fract_x
_atom_site_fract_y
_atom_site_fract_z
Na1 Na 0.000 0.500 0.000
In1 In 0.000 0.000 0.500
Te1 Te 0.500 0.500 0.500
F1 F 0.000 0.000 0.000

---

Please write out number 2 again, unchanged.
# SrSc2BiC, optimized geometry, DFT GGA-PBE
# DFT formation energy = -2.09 eV per formula unit
# total moment = 0.00 μB/f.u.
# final energy = -5.91 eV/atom
data_SrSc2BiC
_chemical_formula_sum 'Sr1 Sc2 Bi1 C1'
_space_group_name_H-M_alt 'P 4/m m m'
_space_group_IT_number 123
_space_group_name_Hall '-P 4 2'
_cell_length_a 4.642
_cell_length_b 4.642
_cell_length_c 5.353
_cell_angle_alpha 90.00
_cell_angle_beta 90.00
_cell_angle_gamma 90.00
loop_
_atom_site_label
_atom_site_type_symbol
_atom_site_fract_x
_atom_site_fract_y
_atom_site_fract_z
Sr1 Sr 0.000 0.000 0.000
Sc1 Sc 0.000 0.500 0.500
Bi1 Bi 0.500 0.500 0.000
C1 C 0.000 0.000 0.500

---

Question: final energy of number 2 (SrSc2BiC)?
Answer: -5.91 eV/atom